1.
# LaTe2Os, relaxed, DFT GGA-PBE
data_LaTe2Os
_chemical_formula_sum 'La1 Te2 Os1'
_space_group_name_H-M_alt 'P 1'
_space_group_IT_number 1
_cell_length_a 5.9619
_cell_length_b 5.9619
_cell_length_c 5.9619
_cell_angle_alpha 136.99
_cell_angle_beta 136.99
_cell_angle_gamma 62.46
loop_
_space_group_symop_operation_xyz
'x,y,z'
loop_
_atom_site_label
_atom_site_type_symbol
_atom_site_fract_x
_atom_site_fract_y
_atom_site_fract_z
La1 La 0.0000 0.0000 0.0000
Te1 Te 0.5000 0.5000 0.0000
Te2 Te 0.7500 0.2500 0.5000
Os1 Os 0.2500 0.7500 0.5000
# ΔE to the lowest computed polymorph (eV per atom): 0.500
# E_form (uncorrected) (eV/atom): 0.067
# Space-group type: I-4m2, No. 119
# DFT total energy (eV/f.u.): -22.17
# Calculated volume (Å³ per cell): 97


2.
# HfGaOs3, relaxed, DFT GGA-PBE
data_HfGaOs3
_chemical_formula_sum 'Hf1 Ga1 Os3'
_space_group_name_H-M_alt 'P 1'
_space_group_IT_number 1
_cell_length_a 4.4838
_cell_length_b 4.4838
_cell_length_c 4.4838
_cell_angle_alpha 90.00
_cell_angle_beta 90.00
_cell_angle_gamma 90.00
loop_
_space_group_symop_operation_xyz
'x,y,z'
loop_
_atom_site_label
_atom_site_type_symbol
_atom_site_fract_x
_atom_site_fract_y
_atom_site_fract_z
Hf1 Hf 0.0000 0.0000 0.0000
Ga1 Ga 0.5000 0.5000 0.5000
Os1 Os 0.0000 0.5000 0.5000
Os2 Os 0.5000 0.0000 0.5000
Os3 Os 0.5000 0.5000 0.0000
# ΔE to the lowest computed polymorph (eV per atom): 0.000
# Space-group type: Pm-3m, No. 221
# DFT total energy (eV/f.u.): -41.30
# Calculated volume (Å³ per cell): 90


3.
# Y2AlFeCo6, relaxed, DFT GGA-PBE
data_Y2AlFeCo6
_chemical_formula_sum 'Y2 Al1 Fe1 Co6'
_space_group_name_H-M_alt 'P 1'
_space_group_IT_number 1
_cell_length_a 6.2798
_cell_length_b 6.2798
_cell_length_c 8.2233
_cell_angle_alpha 130.89
_cell_angle_beta 130.89
_cell_angle_gamma 43.97
loop_
_space_group_symop_operation_xyz
'x,y,z'
loop_
_atom_site_label
_atom_site_type_symbol
_atom_site_fract_x
_atom_site_fract_y
_atom_site_fract_z
Y1 Y 0.0466 0.0466 0.3012
Y2 Y 0.9534 0.9534 0.6988
Al1 Al 0.5000 0.5000 0.0000
Fe1 Fe 0.5000 0.5000 0.5000
Co1 Co 0.0034 0.5075 0.2453
Co2 Co 0.3161 0.3161 0.0668
Co3 Co 0.4925 0.9966 0.7547
Co4 Co 0.5075 0.0034 0.2453
Co5 Co 0.6839 0.6839 0.9332
Co6 Co 0.9966 0.4925 0.7547
# Space-group type: C2/m, No. 12
# DFT total energy (eV/f.u.): -68.19
# Calculated volume (Å³ per cell): 159


4.
# Mg3In3AgRh2, relaxed, DFT GGA-PBE
data_Mg3In3AgRh2
_chemical_formula_sum 'Mg3 In3 Ag1 Rh2'
_space_group_name_H-M_alt 'P 1'
_space_group_IT_number 1
_cell_length_a 7.7192
_cell_length_b 7.7192
_cell_length_c 3.2452
_cell_angle_alpha 90.00
_cell_angle_beta 90.00
_cell_angle_gamma 120.00
loop_
_space_group_symop_operation_xyz
'x,y,z'
loop_
_atom_site_label
_atom_site_type_symbol
_atom_site_fract_x
_atom_site_fract_y
_atom_site_fract_z
Mg1 Mg 0.0000 0.7092 0.0000
Mg2 Mg 0.2908 0.2908 0.0000
Mg3 Mg 0.7092 0.0000 0.0000
In1 In 0.0000 0.3832 0.5000
In2 In 0.3832 0.0000 0.5000
In3 In 0.6168 0.6168 0.5000
Ag1 Ag 0.0000 0.0000 0.5000
Rh1 Rh 0.3333 0.6667 0.0000
Rh2 Rh 0.6667 0.3333 0.0000
# Space-group type: P-62m, No. 189
# DFT total energy (eV/f.u.): -33.20
# Calculated volume (Å³ per cell): 167


5.
# CeSm2YTm, relaxed, DFT GGA-PBE
data_CeSm2YTm
_chemical_formula_sum 'Ce2 Sm4 Y2 Tm2'
_space_group_name_H-M_alt 'P 1'
_space_group_IT_number 1
_cell_length_a 6.6335
_cell_length_b 8.2387
_cell_length_c 6.1039
_cell_angle_alpha 90.00
_cell_angle_beta 90.44
_cell_angle_gamma 90.00
loop_
_space_group_symop_operation_xyz
'x,y,z'
loop_
_atom_site_label
_atom_site_type_symbol
_atom_site_fract_x
_atom_site_fract_y
_atom_site_fract_z
Ce1 Ce 0.0000 0.0000 0.0000
Ce2 Ce 0.0000 0.0000 0.5000
Sm1 Sm 0.2626 0.3060 0.2529
Sm2 Sm 0.2626 0.6940 0.7529
Sm3 Sm 0.7374 0.3060 0.2471
Sm4 Sm 0.7374 0.6940 0.7471
Y1 Y 0.0000 0.3549 0.7500
Y2 Y 0.0000 0.6451 0.2500
Tm1 Tm 0.5000 0.1199 0.7500
Tm2 Tm 0.5000 0.8801 0.2500
# Space-group type: P2/c, No. 13
# DFT total energy (eV/f.u.): -24.85
# Calculated volume (Å³ per cell): 334


6.
# Zn4Cl, relaxed, DFT GGA-PBE
data_Zn4Cl
_chemical_formula_sum 'Zn4 Cl1'
_space_group_name_H-M_alt 'P 1'
_space_group_IT_number 1
_cell_length_a 5.0890
_cell_length_b 5.0890
_cell_length_c 5.0890
_cell_angle_alpha 90.00
_cell_angle_beta 90.00
_cell_angle_gamma 90.00
loop_
_space_group_symop_operation_xyz
'x,y,z'
loop_
_atom_site_label
_atom_site_type_symbol
_atom_site_fract_x
_atom_site_fract_y
_atom_site_fract_z
Zn1 Zn 0.0000 0.0000 0.0000
Zn2 Zn 0.0000 0.5000 0.5000
Zn3 Zn 0.5000 0.0000 0.5000
Zn4 Zn 0.5000 0.5000 0.0000
Cl1 Cl 0.5000 0.5000 0.5000
# ΔE to the lowest computed polymorph (eV per atom): 0.175
# E_form (uncorrected) (eV/atom): 0.631
# Space-group type: Pm-3m, No. 221
# DFT total energy (eV/f.u.): -3.79
# Calculated volume (Å³ per cell): 132


7.
# BeReNO2, relaxed, DFT GGA-PBE
data_BeReNO2
_chemical_formula_sum 'Be1 Re1 N1 O2'
_space_group_name_H-M_alt 'P 1'
_space_group_IT_number 1
_cell_length_a 3.2687
_cell_length_b 3.2687
_cell_length_c 3.7990
_cell_angle_alpha 90.00
_cell_angle_beta 90.00
_cell_angle_gamma 90.00
loop_
_space_group_symop_operation_xyz
'x,y,z'
loop_
_atom_site_label
_atom_site_type_symbol
_atom_site_fract_x
_atom_site_fract_y
_atom_site_fract_z
Be1 Be 0.0000 0.0000 0.0000
Re1 Re 0.5000 0.5000 0.5000
N1 N 0.0000 0.0000 0.5000
O1 O 0.0000 0.5000 0.0000
O2 O 0.5000 0.0000 0.0000
# E_form (uncorrected) (eV/atom): 0.034
# Space-group type: P4/mmm, No. 123
# DFT total energy (eV/f.u.): -34.25
# Calculated volume (Å³ per cell): 41


8.
# MgScMo2, relaxed, DFT GGA-PBE
data_MgScMo2
_chemical_formula_sum 'Mg1 Sc1 Mo2'
_space_group_name_H-M_alt 'P 1'
_space_group_IT_number 1
_cell_length_a 2.7633
_cell_length_b 2.7633
_cell_length_c 9.3167
_cell_angle_alpha 90.00
_cell_angle_beta 90.00
_cell_angle_gamma 90.00
loop_
_space_group_symop_operation_xyz
'x,y,z'
loop_
_atom_site_label
_atom_site_type_symbol
_atom_site_fract_x
_atom_site_fract_y
_atom_site_fract_z
Mg1 Mg 0.0000 0.0000 0.0000
Sc1 Sc 0.0000 0.0000 0.5000
Mo1 Mo 0.5000 0.5000 0.2466
Mo2 Mo 0.5000 0.5000 0.7534
# Space-group type: P4/mmm, No. 123
# DFT total energy (eV/f.u.): -28.46
# Calculated volume (Å³ per cell): 71